Material: Cs2RbAlF6
Method: DFT, GGA-PBEsol
State: optimized geometry Values from VASP.

Cell and atoms, written as Quantum ESPRESSO input:
```
&SYSTEM
  ibrav = 0, nat = 10, ntyp = 4
/
ATOMIC_SPECIES
Cs 132.91 Cs.upf
Rb 85.47 Rb.upf
Al 26.98 Al.upf
F 19.00 F.upf
ATOMIC_POSITIONS crystal
Cs 0.7500 0.7500 0.7500
Rb 0.5000 0.5000 0.5000
Al 0.0000 0.0000 0.0000
F 0.7964 0.2036 0.7964
Cs 0.2500 0.2500 0.2500
F 0.2036 0.2036 0.7964
F 0.2036 0.7964 0.7964
F 0.7964 0.7964 0.2036
F 0.7964 0.2036 0.2036
F 0.2036 0.7964 0.2036
CELL_PARAMETERS angstrom
-5.7134 2.1990 -1.6991
-5.2286 -2.1898 2.8691
-3.2632 3.7540 3.9528
```

Results
Energy relative to the elements, uncorrected = -3.198 eV/atom

Material: TaCr2Mo
Method: DFT, GGA-PBEsol
State: optimized geometry Values from VASP.

Cell and atoms, written as Quantum ESPRESSO input:
```
&SYSTEM
  ibrav = 0, nat = 4, ntyp = 3
/
ATOMIC_SPECIES
Mo 95.94 Mo.upf
Cr 52.00 Cr.upf
Ta 180.95 Ta.upf
ATOMIC_POSITIONS crystal
Mo 0.5000 0.5000 0.5000
Cr 0.0000 0.0000 0.5000
Cr 0.0000 0.5000 0.0000
Ta 0.5000 0.0000 0.0000
CELL_PARAMETERS angstrom
-2.1162 -2.1617 -0.0074
0.0889 -0.0724 -4.2674
3.0493 -2.9855 0.1142
```

Results
Calculated formation energy = 0.00 eV per atom
ΔE to the lowest computed polymorph = 0.000 eV per atom

Material: Y2Cd
Method: DFT, GGA-PBEsol
State: optimized geometry Values from VASP.

Cell and atoms, written as Quantum ESPRESSO input:
```
&SYSTEM
  ibrav = 0, nat = 24, ntyp = 2
/
ATOMIC_SPECIES
Y 88.91 Y.upf
Cd 112.41 Cd.upf
ATOMIC_POSITIONS crystal
Y 0.8148 0.1852 0.8148
Y 0.6250 0.6250 0.6250
Cd 0.4110 0.4110 0.4110
Cd 0.8390 0.8390 0.4830
Cd 0.4110 0.7670 0.4110
Y 0.6250 0.6250 0.1250
Cd 0.8390 0.4830 0.8390
Y 0.1852 0.8148 0.1852
Y 0.4352 0.0648 0.4352
Y 0.0648 0.4352 0.4352
Cd 0.8390 0.8390 0.8390
Y 0.8148 0.1852 0.1852
Cd 0.7670 0.4110 0.4110
Y 0.0648 0.0648 0.4352
Y 0.4352 0.4352 0.0648
Y 0.6250 0.1250 0.6250
Y 0.1852 0.1852 0.8148
Y 0.4352 0.0648 0.0648
Y 0.0648 0.4352 0.0648
Cd 0.4830 0.8390 0.8390
Cd 0.4110 0.4110 0.7670
Y 0.1852 0.8148 0.8148
Y 0.1250 0.6250 0.6250
Y 0.8148 0.8148 0.1852
CELL_PARAMETERS angstrom
-8.1082 -1.7514 -5.1409
-0.1453 -7.2070 -6.5786
-5.2175 -8.0671 1.7143
```

Results
Calculated formation energy = -0.24 eV per atom

Material: CaGeAu
Method: DFT, GGA-PBEsol
State: optimized geometry Values from VASP.

Cell and atoms, written as Quantum ESPRESSO input:
```
&SYSTEM
  ibrav = 0, nat = 12, ntyp = 3
/
ATOMIC_SPECIES
Au 196.97 Au.upf
Ca 40.08 Ca.upf
Ge 72.64 Ge.upf
ATOMIC_POSITIONS crystal
Au 0.7500 0.3019 0.4169
Ca 0.7500 0.5006 0.7959
Ge 0.7500 0.6929 0.4103
Ge 0.2500 0.8071 0.9103
Au 0.2500 0.6981 0.5831
Ca 0.7500 0.0006 0.7041
Au 0.2500 0.1981 0.9169
Ca 0.2500 0.4994 0.2041
Ca 0.2500 0.9994 0.2959
Ge 0.7500 0.1929 0.0897
Ge 0.2500 0.3071 0.5897
Au 0.7500 0.8019 0.0831
CELL_PARAMETERS angstrom
4.4605 0.0000 0.0000
0.0000 7.1600 0.0000
0.0000 0.0000 7.7014
```

Results
Calculated formation energy = -0.74 eV per atom

Material: Y2TlF2
Method: DFT, GGA-PBEsol
State: optimized geometry Values from VASP.

Cell and atoms, written as Quantum ESPRESSO input:
```
&SYSTEM
  ibrav = 0, nat = 5, ntyp = 3
/
ATOMIC_SPECIES
Tl 204.38 Tl.upf
F 19.00 F.upf
Y 88.91 Y.upf
ATOMIC_POSITIONS crystal
Tl 0.0000 0.0000 0.0000
F 0.7500 0.2500 0.5000
Y 0.3616 0.3616 0.7232
Y 0.6384 0.6384 0.2768
F 0.2500 0.7500 0.5000
CELL_PARAMETERS angstrom
3.7039 0.0000 0.0000
0.0000 3.7039 0.0000
-1.8519 -1.8519 6.6875
```

Results
Energy relative to the elements, uncorrected = -2.393 eV/atom

Material: MgFe2Si4O12
Method: DFT, GGA-PBEsol
State: optimized geometry Values from VASP.

Cell and atoms, written as Quantum ESPRESSO input:
```
&SYSTEM
  ibrav = 0, nat = 76, ntyp = 4
/
ATOMIC_SPECIES
O 16.00 O.upf
Fe 55.84 Fe.upf
Mg 24.30 Mg.upf
Si 28.09 Si.upf
ATOMIC_POSITIONS crystal
O 0.4593 0.2776 0.8011
O 0.9019 0.9729 0.1814
Fe 0.8375 0.5396 0.8745
O 0.6973 0.2041 0.9530
Mg 0.1621 0.3420 0.1243
O 0.0518 0.5152 0.5666
O 0.3156 0.6758 0.3135
Fe 0.8375 0.0396 0.6255
O 0.6149 0.0177 0.8150
O 0.4702 0.3594 0.0596
O 0.6149 0.5177 0.6850
Fe 0.3367 0.9698 0.8750
O 0.5407 0.7776 0.1989
Si 0.0061 0.1649 0.4732
Si 0.3204 0.6668 0.2242
Fe 0.6633 0.9698 0.3750
O 0.8516 0.8545 0.3108
O 0.7919 0.7760 0.0570
O 0.5820 0.9654 0.5709
O 0.5407 0.2776 0.3011
Mg 0.1621 0.8420 0.3757
Si 0.1719 0.3306 0.7788
O 0.5298 0.8594 0.9404
Si 0.9939 0.1649 0.9732
O 0.6844 0.1758 0.6865
Mg 0.8379 0.3420 0.6243
Si 0.8281 0.8306 0.2212
Si 0.4921 0.3284 0.9708
Si 0.3204 0.1668 0.2758
Si 0.0061 0.6649 0.0268
O 0.6973 0.7041 0.5470
O 0.3156 0.1758 0.1865
Fe 0.1625 0.5396 0.3745
O 0.4702 0.8594 0.4404
O 0.9019 0.4729 0.3186
O 0.0205 0.6747 0.4379
O 0.9482 0.0152 0.4334
O 0.2081 0.2760 0.9430
Mg 0.8379 0.8420 0.8757
O 0.4180 0.9654 0.0709
Fe 0.6633 0.4698 0.1250
O 0.5820 0.4654 0.9291
Si 0.6796 0.6668 0.7242
O 0.4593 0.7776 0.6989
O 0.1484 0.8545 0.8108
Si 0.5079 0.3284 0.4708
O 0.9668 0.2105 0.8038
O 0.1484 0.3545 0.6892
Si 0.6796 0.1668 0.7758
O 0.3851 0.0177 0.3150
O 0.6844 0.6758 0.8135
O 0.2081 0.7760 0.5570
O 0.3027 0.2041 0.4530
Fe 0.1625 0.0396 0.1255
O 0.0981 0.4729 0.8186
O 0.9482 0.5152 0.0666
O 0.9668 0.7105 0.6962
Si 0.4921 0.8284 0.5292
O 0.4180 0.4654 0.4291
O 0.7919 0.2760 0.4430
O 0.9795 0.1747 0.5621
Si 0.1719 0.8306 0.7212
O 0.0205 0.1747 0.0621
Si 0.5079 0.8284 0.0292
O 0.0981 0.9729 0.6814
O 0.0332 0.2105 0.3038
Si 0.9939 0.6649 0.5268
O 0.5298 0.3594 0.5596
Fe 0.3367 0.4698 0.6250
O 0.3027 0.7041 0.0470
O 0.8516 0.3545 0.1892
O 0.3851 0.5177 0.1850
O 0.9795 0.6747 0.9379
Si 0.8281 0.3306 0.2788
O 0.0518 0.0152 0.9334
O 0.0332 0.7105 0.1962
CELL_PARAMETERS angstrom
5.2047 0.0000 0.0000
0.0000 9.6886 0.0000
0.0000 0.0000 18.2584
```

Results
Energy relative to the elements, uncorrected = -2.303 eV/atom

Material: YRuSe2
Method: DFT, GGA-PBEsol
State: optimized geometry Values from VASP.

Cell and atoms, written as Quantum ESPRESSO input:
```
&SYSTEM
  ibrav = 0, nat = 4, ntyp = 3
/
ATOMIC_SPECIES
Ru 101.07 Ru.upf
Se 78.96 Se.upf
Y 88.91 Y.upf
ATOMIC_POSITIONS crystal
Ru 0.0000 0.0000 0.0000
Se 0.9008 0.9008 0.2975
Y 0.5000 0.5000 0.5000
Se 0.0992 0.0992 0.7025
CELL_PARAMETERS angstrom
-3.1640 -2.1414 -0.9477
-0.3921 -1.4238 -3.6488
2.6985 -7.9016 0.6700
```

Results
Energy relative to the elements, uncorrected = -0.211 eV/atom
ΔE to the lowest computed polymorph = 0.247 eV per atom

Material: Na2ZnB6O11
Method: DFT, GGA-PBEsol
State: optimized geometry Values from VASP.

Cell and atoms, written as Quantum ESPRESSO input:
```
&SYSTEM
  ibrav = 0, nat = 40, ntyp = 4
/
ATOMIC_SPECIES
O 16.00 O.upf
B 10.81 B.upf
Na 22.99 Na.upf
Zn 65.41 Zn.upf
ATOMIC_POSITIONS crystal
O 0.1791 0.6243 0.3874
B 0.9101 0.9117 0.2357
B 0.1761 0.6744 0.2643
O 0.9939 0.1611 0.2499
O 0.0061 0.8389 0.7501
O 0.7369 0.7916 0.1126
Na 0.3028 0.5566 0.0357
O 0.8246 0.8566 0.3403
B 0.0593 0.7410 0.8478
O 0.8209 0.3757 0.6126
B 0.6068 0.7885 0.3478
B 0.6192 0.2934 0.5115
B 0.0899 0.0883 0.7643
Na 0.6972 0.4434 0.9643
B 0.7181 0.8923 0.0115
O 0.1962 0.8726 0.9681
O 0.1211 0.8711 0.2500
O 0.1754 0.1434 0.6597
B 0.9407 0.2590 0.1522
O 0.2631 0.2084 0.8874
O 0.6128 0.7583 0.8956
B 0.2819 0.1077 0.9885
Na 0.9791 0.7329 0.5357
Zn 0.6184 0.8684 0.7500
O 0.4112 0.7440 0.2501
O 0.0163 0.4842 0.1597
O 0.5888 0.2560 0.7499
O 0.6373 0.2828 0.3956
O 0.3872 0.2417 0.1044
O 0.4045 0.2281 0.5319
O 0.5955 0.7719 0.4681
Na 0.0209 0.2671 0.4643
B 0.3808 0.7066 0.4885
O 0.9837 0.5158 0.8403
O 0.3627 0.7172 0.6044
O 0.8038 0.1274 0.0319
B 0.3932 0.2115 0.6522
B 0.8239 0.3256 0.7357
O 0.8789 0.1289 0.7500
Zn 0.3816 0.1316 0.2500
CELL_PARAMETERS angstrom
6.5273 0.0232 -0.0073
-2.3215 6.1006 0.0073
-2.9803 -2.4593 10.6543
```

Results
Energy relative to the elements, uncorrected = -2.315 eV/atom

Material: ZnCoIr2
Method: DFT, GGA-PBEsol
State: optimized geometry Values from VASP.

Cell and atoms, written as Quantum ESPRESSO input:
```
&SYSTEM
  ibrav = 0, nat = 4, ntyp = 3
/
ATOMIC_SPECIES
Co 58.93 Co.upf
Ir 192.22 Ir.upf
Zn 65.41 Zn.upf
ATOMIC_POSITIONS crystal
Co 0.5000 0.5000 0.7509
Ir 0.5000 0.5000 0.2491
Zn 0.0000 0.0000 0.5147
Ir 0.0000 0.0000 0.9853
CELL_PARAMETERS angstrom
2.6921 0.0000 0.0000
0.0000 2.6921 0.0000
0.0000 0.0000 7.1313
```

Results
Calculated formation energy = -0.02 eV per atom

Material: ScIrCl2
Method: DFT, GGA-PBEsol
State: optimized geometry Values from VASP.

Cell and atoms, written as Quantum ESPRESSO input:
```
&SYSTEM
  ibrav = 0, nat = 4, ntyp = 3
/
ATOMIC_SPECIES
Sc 44.96 Sc.upf
Cl 35.45 Cl.upf
Ir 192.22 Ir.upf
ATOMIC_POSITIONS crystal
Sc 0.0000 0.0000 0.0000
Cl 0.0938 0.0938 0.7186
Ir 0.5000 0.5000 0.5000
Cl 0.9062 0.9062 0.2814
CELL_PARAMETERS angstrom
3.1914 0.0000 0.0000
1.5957 2.7639 0.0000
1.5957 0.9213 8.5960
```

Results
Energy relative to the elements, uncorrected = 0.276 eV/atom
ΔE to the lowest computed polymorph = 0.948 eV per atom

no.,size of the total moment (μB per cell),calculated total energy (eV per atom)
1,0.0,-5.054
2,0.0,-11.201
3,0.0,-5.183
4,0.0,-4.406
5,0.0,-6.419
6,40.0,-7.863
7,3.0,-6.385
8,0.0,-7.526
9,1.0,-7.260
10,1.7,-4.835